(1)
5
Lattice="-1.267 -2.429 3.300 2.203 -3.316 -1.596 3.458 1.225 2.229" Properties=species:S:1:pos:R:3 comment="LiVFe2Co (PBE, relaxed)" delta_e_f_ev_per_atom=0.959 pbc="T T T"
Li 2.197 -2.260 1.967
Co 1.729 0.612 1.114
Fe 1.102 -1.658 -0.798
Fe -0.633 -1.215 1.650
V 0.000 0.000 0.000

=====

(2)
15
Lattice="6.638 0.000 0.000 -3.319 5.750 -0.022 0.000 -3.810 6.302" Properties=species:S:1:pos:R:3 comment="K3Dy3SiO8 (PBE, relaxed)" raw_formation_energy_kj_per_mol_atoms=-254.9 pbc="T T T"
K 0.000 0.000 0.000
K -1.660 2.875 -0.011
K 1.659 2.875 -0.011
Dy 3.319 -1.905 3.151
Dy 1.660 0.970 3.140
Dy -1.660 0.970 3.140
Si 0.000 -1.905 3.151
O 0.000 1.924 1.978
O 3.319 0.016 4.302
O 3.319 2.232 2.108
O 0.000 -0.292 4.171
O 5.245 -1.105 2.121
O -1.926 3.045 4.158
O 1.393 -1.105 2.121
O 1.926 3.045 4.158

=====

(3)
3
Lattice="-1.739 3.500 -0.289 -0.693 1.558 -3.529 -3.674 0.258 -1.341" Properties=species:S:1:pos:R:3 comment="LiNiRu (PBE, relaxed)" delta_e_f_ev_per_atom=0.537 e_above_lowest_polymorph_mev_per_atom=381 pbc="T T T"
Li -3.053 2.658 -2.580
Ni -4.580 3.987 -3.869
Ru 0.000 0.000 0.000

=====

(4)
4
Lattice="3.582 0.000 0.000 1.791 3.102 0.000 1.791 1.034 9.220" Properties=species:S:1:pos:R:3 comment="TbThZn2 (PBE, relaxed)" delta_e_f_ev_per_atom=-0.058 pbc="T T T"
Zn 5.374 3.102 7.003
Zn 1.791 1.034 2.217
Tb 0.000 0.000 0.000
Th 3.582 2.068 4.610

=====

(5)
4
Lattice="4.919 0.000 0.000 2.459 4.260 0.000 2.459 1.420 4.016" Properties=species:S:1:pos:R:3 comment="Cd2NiTe (PBE, relaxed)" raw_formation_energy_kj_per_mol_atoms=27.6 pbc="T T T"
Cd 0.000 0.000 0.000
Cd 2.459 1.420 1.004
Ni 4.919 2.840 2.008
Te 7.378 4.260 3.012

=====

(6)
6
Lattice="-1.490 2.172 -1.488 0.580 -1.396 -2.620 -7.843 -4.814 0.829" Properties=species:S:1:pos:R:3 comment="MgTi2Ni3 (PBE, relaxed)" delta_e_f_ev_per_atom=-0.344 pbc="T T T"
Mg -4.377 -2.019 -1.640
Ti -7.006 -3.633 -1.362
Ti -1.747 -0.405 -1.917
Ni 0.000 0.000 0.000
Ni -5.451 -3.346 0.576
Ni -2.392 -1.468 0.253

=====

(7)
4
Lattice="-1.627 3.061 0.115 -2.478 -2.093 -1.230 -2.491 -1.616 7.772" Properties=species:S:1:pos:R:3 comment="La2PW (PBE, relaxed)" delta_e_f_ev_per_atom=0.076 e_above_lowest_polymorph_mev_per_atom=382 pbc="T T T"
La -0.040 -0.026 0.126
La -1.205 -0.782 3.760
P -2.675 0.080 1.386
W -3.921 -0.728 5.272

=====

(8)
6
Lattice="0.000 3.623 3.623 3.623 0.000 3.623 3.623 3.623 0.000" Properties=species:S:1:pos:R:3 comment="BeNiMo4 (PBE, relaxed)" delta_e_f_ev_per_atom=0.682 pbc="T T T"
Be 0.000 0.000 0.000
Ni 1.812 1.812 1.812
Mo 2.715 2.715 4.531
Mo 2.715 4.531 2.715
Mo 4.531 4.531 4.531
Mo 4.531 2.715 2.715

=====

(9)
12
Lattice="8.515 0.368 0.000 -3.446 7.795 0.000 -2.534 -4.082 7.040" Properties=species:S:1:pos:R:3 comment="KTl2HgBr8 (PBE, relaxed)" raw_formation_energy_kj_per_mol_atoms=-59.3 pbc="T T T"
K 0.000 0.000 0.000
Tl 4.257 0.184 3.520
Tl 2.534 4.082 0.000
Hg -1.723 3.897 3.520
Br 2.177 -0.618 2.176
Br 0.229 3.349 1.572
Br 0.366 -2.391 5.468
Br 4.461 -2.036 4.864
Br 4.839 4.814 1.572
Br 6.338 0.987 2.176
Br 4.054 2.405 4.864
Br -0.366 2.391 5.468

=====

(10)
6
Lattice="-2.979 1.341 3.342 0.057 -4.448 -1.432 2.747 -0.865 2.796" Properties=species:S:1:pos:R:3 comment="Cr5Co (PBE, relaxed)" delta_e_f_ev_per_atom=0.549 e_above_lowest_polymorph_mev_per_atom=500 pbc="T T T"
Cr 1.402 -2.657 0.682
Cr -0.955 -2.518 0.159
Cr -0.116 0.238 3.069
Cr -0.087 -1.986 2.353
Cr -1.967 -0.589 1.750
Co 0.000 0.000 0.000

=====

(11)
4
Lattice="3.117 0.000 0.000 0.000 5.320 0.025 0.000 3.596 4.610" Properties=species:S:1:pos:R:3 comment="BaZnRu2 (PBE, relaxed)" delta_e_f_ev_per_atom=0.845 pbc="T T T"
Ba 0.000 1.798 2.305
Ru 0.000 0.000 0.000
Ru 1.559 2.660 0.012
Zn 1.559 4.458 2.317

=====

(12)
10
Lattice="6.163 0.000 0.000 0.000 6.486 0.000 0.000 -3.243 5.616" Properties=species:S:1:pos:R:3 comment="AcGa3Au (PBE, relaxed)" delta_e_f_ev_per_atom=-0.458 e_above_lowest_polymorph_mev_per_atom=181 pbc="T T T"
Ac 4.621 3.243 1.872
Ac 1.541 0.000 3.744
Ga 4.622 1.328 4.511
Ga 1.540 3.243 3.405
Ga 1.540 1.915 1.106
Ga 4.622 0.000 2.211
Ga 1.540 4.571 1.106
Ga 4.622 -1.328 4.511
Au 0.000 0.000 0.000
Au 3.081 0.000 0.000

=====

(13)
6
Lattice="2.468 -6.605 0.000 2.468 6.605 0.000 0.000 0.000 4.909" Properties=species:S:1:pos:R:3 comment="HgAs5 (PBE, relaxed)" delta_e_f_ev_per_atom=0.262 e_above_lowest_polymorph_mev_per_atom=65 pbc="T T T"
Hg 2.468 6.600 0.000
As 2.468 -3.731 2.455
As 2.468 -2.730 0.000
As 2.468 1.651 2.455
As 2.468 2.850 0.000
As 2.468 4.168 2.455

=====

(14)
9
Lattice="4.791 0.000 0.000 0.000 4.791 0.000 0.000 0.000 8.811" Properties=species:S:1:pos:R:3 comment="NaAcSb2Pd5 (PBE, relaxed)" raw_formation_energy_kj_per_mol_atoms=-54.2 pbc="T T T"
Na 0.000 0.000 0.000
Ac 0.000 0.000 4.406
Sb 2.395 2.395 1.475
Sb 2.395 2.395 7.336
Pd 0.000 2.395 2.523
Pd 2.395 0.000 2.523
Pd 0.000 2.395 6.288
Pd 2.395 0.000 6.288
Pd 2.395 2.395 4.406

=====

(15)
18
Lattice="7.643 0.000 0.000 -3.822 6.619 0.000 0.000 0.000 15.802" Properties=species:S:1:pos:R:3 comment="CsCaNpBr6 (PBE, relaxed)" raw_formation_energy_kj_per_mol_atoms=-163.6 pbc="T T T"
Cs 0.000 0.000 0.000
Cs 0.000 0.000 7.901
Ca 0.000 4.413 3.951
Ca 3.822 2.206 11.852
Np 3.822 2.206 3.951
Np 0.000 4.413 11.852
Br 2.380 4.101 2.286
Br 6.183 2.508 2.286
Br -0.920 6.609 10.188
Br -2.361 4.111 13.516
Br 1.460 2.508 5.615
Br 5.263 4.101 5.615
Br 0.920 6.609 13.516
Br 4.741 0.011 5.615
Br -1.442 2.519 10.188
Br 2.902 0.011 2.286
Br 2.361 4.111 10.188
Br 1.442 2.519 13.516

=====

(16)
6
Lattice="0.000 3.874 3.874 3.874 0.000 3.874 3.874 3.874 0.000" Properties=species:S:1:pos:R:3 comment="AlPAu4 (PBE, relaxed)" delta_e_f_ev_per_atom=0.330 pbc="T T T"
Al 0.000 0.000 0.000
P 5.812 5.812 5.812
Au 2.905 4.844 4.844
Au 4.844 4.844 2.905
Au 4.844 2.905 4.844
Au 2.905 2.905 2.905

=====

(17)
4
Lattice="3.305 0.000 0.000 1.653 2.862 0.000 1.653 0.954 10.365" Properties=species:S:1:pos:R:3 comment="Th2NbRh (PBE, relaxed)" delta_e_f_ev_per_atom=0.332 pbc="T T T"
Nb 0.000 0.000 0.000
Rh 3.305 1.908 5.183
Th 1.653 0.954 7.453
Th 4.958 2.862 2.912

=====

(18)
5
Lattice="-0.691 -1.732 4.537 -3.976 -2.429 -1.533 2.788 -3.894 -1.062" Properties=species:S:1:pos:R:3 comment="GeAs4 (PBE, relaxed)" delta_e_f_ev_per_atom=0.905 pbc="T T T"
Ge -0.940 -4.028 0.971
As 0.000 0.000 0.000
As 1.048 -2.813 1.738
As -0.594 -3.162 -1.297
As -2.334 -2.081 1.502

=====

(19)
4
Lattice="-2.945 -2.008 -1.249 1.993 -3.182 0.414 -2.649 -0.699 7.373" Properties=species:S:1:pos:R:3 comment="LaErMgHg (PBE, relaxed)" delta_e_f_ev_per_atom=-0.283 e_above_lowest_polymorph_mev_per_atom=0 pbc="T T T"
La -2.273 -0.600 6.326
Er -0.920 -0.243 2.560
Mg -2.024 -3.003 3.890
Hg -0.843 -2.691 0.604

=====

(20)
11
Lattice="-3.721 2.009 2.390 -4.726 -5.617 -2.639 2.315 -7.436 4.917" Properties=species:S:1:pos:R:3 comment="LiIn2Pb8 (PBE, relaxed)" delta_e_f_ev_per_atom=-0.028 e_above_lowest_polymorph_mev_per_atom=0 pbc="T T T"
Li -1.861 1.004 1.195
In -3.761 -6.329 -0.537
In -2.372 -4.715 5.205
Pb -4.419 -3.288 0.818
Pb -4.050 -9.323 1.529
Pb -1.499 -4.949 1.825
Pb -4.964 -9.055 4.817
Pb -4.634 -6.096 2.843
Pb -2.083 -1.721 3.140
Pb -1.713 -7.757 3.851
Pb -1.169 -1.989 -0.149

=====

(21)
28
Lattice="-0.182 4.376 -1.695 1.405 -2.732 -7.204 -9.571 -0.977 -1.496" Properties=species:S:1:pos:R:3 comment="ZrMn6 (PBE, relaxed)" delta_e_f_ev_per_atom=-0.043 e_above_lowest_polymorph_mev_per_atom=0 pbc="T T T"
Zr -8.768 1.688 -4.462
Zr 0.420 -1.021 -5.934
Zr -4.462 0.689 -7.500
Zr -3.885 -0.023 -2.895
Mn 0.453 1.648 -5.552
Mn -8.801 -0.982 -4.844
Mn -4.559 2.574 -2.624
Mn -3.789 -1.908 -7.772
Mn -1.254 -1.295 -3.377
Mn -7.007 -0.113 -6.215
Mn -1.723 -0.697 -7.952
Mn -6.711 3.438 -3.247
Mn -7.093 1.961 -7.019
Mn -1.341 0.780 -4.181
Mn -6.624 1.364 -2.443
Mn -1.637 -2.772 -7.149
Mn -1.269 0.577 -1.628
Mn -7.079 0.090 -8.768
Mn -2.522 -0.989 -5.535
Mn -5.826 1.655 -4.860
Mn -6.148 -1.866 -7.410
Mn -2.199 2.532 -2.986
Mn -6.718 -0.486 -3.787
Mn -1.630 1.153 -6.608
Mn -4.834 -0.995 -5.303
Mn -3.513 1.661 -5.093
Mn -8.752 0.043 -2.203
Mn 0.404 0.624 -8.192

=====

(22)
8
Lattice="-2.123 2.001 3.256 -4.089 -6.196 1.142 3.491 -4.461 5.018" Properties=species:S:1:pos:R:3 comment="Ce4SnSbSe2 (PBE, relaxed)" raw_formation_energy_kj_per_mol_atoms=-124.3 pbc="T T T"
Ce -0.530 -8.066 4.611
Ce -2.190 -0.590 4.805
Ce -3.338 -4.835 3.730
Ce 0.617 -3.821 5.686
Sn -0.299 -5.329 3.080
Sb -3.106 -2.097 2.199
Se 3.491 -4.461 5.018
Se 0.684 -1.230 4.137

=====

(23)
7
Lattice="-2.362 8.453 -8.901 -2.391 -1.331 -0.207 -1.174 1.853 1.649" Properties=species:S:1:pos:R:3 comment="Fe3Rh4 (PBE, relaxed)" delta_e_f_ev_per_atom=0.009 e_above_lowest_polymorph_mev_per_atom=0 pbc="T T T"
Fe 0.000 0.000 0.000
Fe -2.848 5.719 -3.889
Fe -3.079 3.256 -3.569
Rh -2.063 3.907 -1.294
Rh -3.725 7.746 -6.793
Rh -2.202 1.229 -0.666
Rh -3.864 5.068 -6.165

=====

(24)
4
Lattice="-1.965 1.344 -2.547 -2.664 -0.882 2.070 0.335 6.831 3.344" Properties=species:S:1:pos:R:3 comment="ZnIn2As (PBE, relaxed)" delta_e_f_ev_per_atom=0.106 e_above_lowest_polymorph_mev_per_atom=64 pbc="T T T"
As -2.079 5.030 2.111
In 0.325 6.616 3.239
In -2.218 2.203 0.727
Zn 0.181 3.689 1.806

=====

Calculated raw total energy in order - -6.053; -6.788; -5.120; -3.708; -2.403; -6.132; -6.978; -8.123; -2.241; -8.655; -4.592; -3.751; -3.663; -4.966; -4.565; -3.380; -7.733; -3.738; -3.130; -3.397; -9.123; -6.142; -7.819; -2.744 eV per atom